The following is a PBE-GGA calculation of a relaxed structure of LiAl2Ag, from Alexandria.

The structure belongs to space group P4/nmm (No. 129, origin choice 2); the cell edges are 4.133, 4.133 and 7.612 Å and the angles 90.00°, 90.00° and 90.00°. The distinct sites, in fractional coordinates, are Li at (0.250, 0.250, 0.245), Al at (0.250, 0.250, 0.750), Al at (0.250, 0.750, 0.500) and Ag at (0.250, 0.750, 0.000).

The calculated total energy comes out at -0.117 Ha/atom. The calculation puts the distance to the lowest polymorph of the same formula at 5.5 meV/atom. The crystal system is tetragonal. The value obtained for the magnetic moment is 0.000 μB per atom.